GGA-PBE Ba2Te2Au, relaxed; total energy = -0.2773 Ry/atom; magnetization = 0.0 μB/f.u.; SG = P4/mbm (127)
1.0
9.098 0.000 0.000
0.000 9.098 0.000
0.000 0.000 4.546
Ba Te Au
4 4 2
direct
0.153 0.347 0.000
0.347 0.847 0.000
0.653 0.153 0.000
0.847 0.653 0.000
0.156 0.656 0.500
0.344 0.156 0.500
0.656 0.844 0.500
0.844 0.344 0.500
0.000 0.000 0.500
0.500 0.500 0.500

GGA-PBE Ba2TeAu, relaxed; total energy = -0.2724 Ry/atom; magnetization = 0.4 μB/f.u.; SG = Pmm2 (25)
1.0
4.931 0.000 0.000
0.000 6.953 0.000
0.000 0.000 4.924
Ba Te Au
2 1 1
direct
0.000 0.000 0.000
0.500 0.500 0.499
0.500 0.000 0.500
0.000 0.500 0.999

GGA-PBE BaTeAu2, relaxed; total energy = -0.2447 Ry/atom; magnetization = 0.0 μB/f.u.; SG = C2/m (12)
1.0
3.379 -4.971 0.000
3.379 4.971 0.000
-3.339 0.000 3.734
Ba Te Au
1 1 2
direct
0.000 0.000 0.000
0.500 0.500 0.000
0.000 0.500 0.500
0.500 0.000 0.500

GGA-PBE BaTe4Au, relaxed; total energy = -0.2337 Ry/atom; magnetization = 0.0 μB/f.u.; SG = F-43m (216)
1.0
0.000 4.574 4.574
4.574 0.000 4.574
4.574 4.574 0.000
Ba Te Au
1 4 1
direct
0.000 0.000 0.000
0.130 0.623 0.623
0.623 0.130 0.623
0.623 0.623 0.130
0.623 0.623 0.623
0.250 0.250 0.250

GGA-PBE BaTeAu2, relaxed; total energy = -0.2437 Ry/atom; magnetization = 0.0 μB/f.u.; SG = P4/mmm (123)
1.0
4.821 0.000 0.000
0.000 4.821 0.000
0.000 0.000 4.828
Ba Te Au
1 1 2
direct
0.000 0.000 0.000
0.500 0.500 0.000
0.000 0.500 0.500
0.500 0.000 0.500

GGA-PBE BaTeAu2, relaxed; total energy = -0.2555 Ry/atom; magnetization = 0.0 μB/f.u.; SG = I4_1/amd (141)
1.0
-2.617 2.617 10.404
2.617 -2.617 10.404
2.617 2.617 -10.404
Ba Te Au
2 2 4
direct
0.375 0.625 0.750
0.625 0.375 0.250
0.125 0.875 0.250
0.875 0.125 0.750
0.000 0.000 0.000
0.000 0.000 0.500
0.000 0.500 0.000
0.500 0.000 0.500